CaSn8Rh2 | PBE-GGA | optimized geometry

Results
- formation energy (eV/f.u.) = -2.061

a b c (Å): 6.447 6.447 7.718
angles (deg): 90.00 90.00 90.00
Sites, in units of the cell vectors:
Rh1 0.500 0.000 0.000
Sn1 0.756 0.756 0.797
Sn2 0.244 0.756 0.203
Ca1 0.500 0.500 0.500
Sn3 0.244 0.756 0.797
Sn4 0.756 0.244 0.797
Sn5 0.756 0.756 0.203
Sn6 0.244 0.244 0.797
Sn7 0.756 0.244 0.203
Sn8 0.244 0.244 0.203
Rh2 0.000 0.500 0.000